Below is MgBeCu2 after structural relaxation, with properties calculated at the PBE level.

The distance to the lowest polymorph of the same formula comes out at 31.8 kJ/mol of formula units. As for the space-group type: P4mm, No. 99.

Lattice parameters (Å, degrees): 2.946 2.948 5.937 90.00 90.00 90.00
Fractional positions:
1 Be 0.500 0.500 0.809
2 Mg 0.000 0.000 0.506
3 Cu 0.000 0.000 0.970
4 Cu 0.500 0.500 0.215

***

Below is MgBe2Cu after structural relaxation, with properties calculated at the PBE level.

As for the space-group type: P4mm, No. 99.

Lattice parameters (Å, degrees): 2.728 2.728 6.358 90.00 90.00 90.00
Fractional positions:
1 Be 0.000 0.000 0.056
2 Be 0.500 0.500 0.241
3 Mg 0.500 0.500 0.758
4 Cu 0.000 0.000 0.445

***

Below is MgBe2Cu after structural relaxation, with properties calculated at the PBE level.

As for the space-group type: P2/m, No. 10.

Lattice parameters (Å, degrees): 3.904 2.562 4.968 77.92 90.00 90.00
Fractional positions:
1 Be 0.000 0.053 0.048
2 Be 0.000 0.447 0.452
3 Mg 0.500 0.750 0.750
4 Cu 0.500 0.250 0.250

***

Below is MgBeCu2 after structural relaxation, with properties calculated at the PBE level.

The distance to the lowest polymorph of the same formula comes out at 79.7 kJ/mol of formula units. As for the space-group type: R-3m, No. 166.

Lattice parameters (Å, degrees): 8.361 8.361 8.361 18.54 18.54 18.54
Fractional positions:
1 Be 0.750 0.750 0.750
2 Mg 0.250 0.250 0.250
3 Cu 0.010 0.010 0.010
4 Cu 0.490 0.490 0.490

***

| no. | total moment (μB per cell) | energy of formation (eV per formula unit) |
| --- | --- | --- |
| 1 | 0.00 | 0.05 |
| 2 | 0.00 | 0.35 |
| 3 | 0.00 | 0.81 |
| 4 | 0.00 | 0.55 |